Density functional theory data (PBE-GGA) for Ba3Os after structural relaxation.

Lattice parameters (Å, degrees): 9.0533 5.2118 6.9677 90.00 115.51 90.00
Space group C2/m (No. 12)
Asymmetric unit:
Ba: 0.0000 0.0000 0.0000
Ba: 0.2212 0.0000 0.6646
Os: 0.0000 0.5000 0.5000

Computed properties:
total DFT energy (no corrections)	-28.54	eV for the cell shown
DOS at the Fermi energy	5.776	states/eV/cell
formation energy	682	meV/atom
V	37.089	Å³/atom